# ZnCdW4N2 (PBE, relaxed)
# Uncorrected energy, eV per atom: -8.678
# Crystal system: hexagonal
data_ZnCdW4N2
_chemical_formula_sum 'Zn1 Cd1 W4 N2'
_cell_length_a 2.8417
_cell_length_b 2.8417
_cell_length_c 15.3300
_cell_angle_alpha 90.00
_cell_angle_beta 90.00
_cell_angle_gamma 120.00
_space_group_name_H-M_alt 'P -6 m 2'
_space_group_IT_number 187
_space_group_name_Hall 'P -6 2'
loop_
_atom_site_label
_atom_site_type_symbol
_atom_site_fract_x
_atom_site_fract_y
_atom_site_fract_z
Zn1 Zn 0.0000 0.0000 0.0000
Cd1 Cd 0.3333 0.6667 0.5000
W1 W 0.0000 0.0000 0.3361
W2 W 0.3333 0.6667 0.1477
N1 N 0.6667 0.3333 0.2422